Below is PmPuZnRh after structural relaxation, with properties calculated at the PBE-GGA level.

It has space group F-43m (No. 216), with a = 7.078 Å, b = 7.078 Å, c = 7.078 Å, α = 90.00°, β = 90.00° and γ = 90.00°. Symmetry generates all atoms from Pm at (0.000, 0.000, 0.000), Pu at (0.000, 0.000, 0.500), Zn at (0.250, 0.250, 0.750) and Rh at (0.250, 0.250, 0.250).

As for the total magnetization: 21.82 Bohr magnetons per cell. The total energy is -7.253 eV per atom. The value obtained for the density of states at the Fermi level is 2.28 states/eV per atom. For the calculated formation energy, the calculation gives -0.33 eV/atom. As for the volume: 354.6 Å³/cell.

***

Below is TlHg3Pd4 after structural relaxation, with properties calculated at the PBE-GGA level.

It has space group C2/m (No. 12), with a = 6.301 Å, b = 6.312 Å, c = 8.020 Å, α = 90.00°, β = 112.79° and γ = 90.00°. Symmetry generates all atoms from Tl at (0.000, 0.000, 0.000), Hg at (0.000, 0.500, 0.000), Hg at (0.249, 0.500, 0.498) and Pd at (0.124, 0.250, 0.749).

As for the total magnetization: 0.00 Bohr magnetons per cell. The total energy is -3.142 eV per atom. The value obtained for the density of states at the Fermi level is 0.42 states/eV per atom. For the calculated formation energy, the calculation gives -0.14 eV/atom. As for the volume: 294.1 Å³/cell.

***

Below is NaPRu3 after structural relaxation, with properties calculated at the PBE-GGA level.

It has space group Pm-3m (No. 221), with a = 4.413 Å, b = 4.413 Å, c = 4.413 Å, α = 90.00°, β = 90.00° and γ = 90.00°. Symmetry generates all atoms from Na at (0.000, 0.000, 0.000), P at (0.500, 0.500, 0.500) and Ru at (0.000, 0.500, 0.500).

As for the total magnetization: 1.45 Bohr magnetons per cell. The total energy is -6.484 eV per atom. The value obtained for the density of states at the Fermi level is 1.06 states/eV per atom. For the calculated formation energy, the calculation gives 0.43 eV/atom. As for the volume: 85.9 Å³/cell.

***

Below is NpGe4IrRh2 after structural relaxation, with properties calculated at the PBE-GGA level.

It has space group R-3m (No. 166, hexagonal axes), with a = 4.2716 Å, b = 4.2716 Å, c = 25.5361 Å, α = 90.00°, β = 90.00° and γ = 120.00°. Symmetry generates all atoms from Np at (0.0000, 0.0000, 0.0000), Ge at (0.0000, 0.0000, 0.1260), Ge at (0.0000, 0.0000, 0.3937), Ir at (0.0000, 0.0000, 0.5000) and Rh at (0.0000, 0.0000, 0.2310).

As for the total magnetization: 12.24 Bohr magnetons per cell. The total energy is -7.175 eV per atom. The value obtained for the density of states at the Fermi level is 0.93 states/eV per atom. For the calculated formation energy, the calculation gives -0.30 eV/atom. As for the volume: 403.5 Å³/cell.

***

Below is EuY2Nb after structural relaxation, with properties calculated at the PBE-GGA level.

It has space group R-3m (No. 166, hexagonal axes), with a = 3.3351 Å, b = 3.3351 Å, c = 35.8996 Å, α = 90.00°, β = 90.00° and γ = 120.00°. Symmetry generates all atoms from Eu at (0.0000, 0.0000, 0.0000), Y at (0.0000, 0.0000, 0.4196) and Nb at (0.0000, 0.0000, 0.5000).

As for the total magnetization: 21.69 Bohr magnetons per cell. The total energy is -7.687 eV per atom. The value obtained for the density of states at the Fermi level is 1.63 states/eV per atom. For the calculated formation energy, the calculation gives 0.63 eV/atom. As for the volume: 345.8 Å³/cell.

***

Below is YThHgPd after structural relaxation, with properties calculated at the PBE-GGA level.

It has space group F-43m (No. 216), with a = 7.379 Å, b = 7.379 Å, c = 7.379 Å, α = 90.00°, β = 90.00° and γ = 90.00°. Symmetry generates all atoms from Y at (0.000, 0.000, 0.000), Th at (0.000, 0.000, 0.500), Hg at (0.250, 0.250, 0.750) and Pd at (0.250, 0.250, 0.250).

As for the total magnetization: 0.00 Bohr magnetons per cell. The total energy is -5.331 eV per atom. The value obtained for the density of states at the Fermi level is 1.04 states/eV per atom. For the calculated formation energy, the calculation gives -0.49 eV/atom. As for the volume: 401.7 Å³/cell.

***

> calculated formation energy of number 3 (NaPRu3)?

0.43 eV/atom

***

> calculated formation energy of number 5 (EuY2Nb)?

0.63 eV/atom

***

> Which of these has the highest total magnetization?

PmPuZnRh